The following is a DFT calculation (GGA-PBEsol) of crystalline BaAg2Au at its relaxed geometry.

Values from the calculation:
- symmetry = R-3m
- energy above the most stable polymorph in this dataset (meV per atom) = 44
- D(E_F) (states/eV/atom) = 0.4543

a b c (Å): 6.031 6.031 6.031
angles (deg): 45.92 45.92 45.92
Positions (direct):
Ba: 0.000 0.000 0.000
Ag: 0.199 0.199 0.199
Ag: 0.801 0.801 0.801
Au: 0.500 0.500 0.500